Cs2NaFeF6: relaxed, PBEsol.

The polymorph energy (0 for the lowest one) comes out at 0.0656 eV per atom. Its density of states at the Fermi level is 1.08 states/eV per atom. The formation energy (no corrections) is -2511 meV per atom.

Cell: 6.052 6.052 6.052 Å, 60.00 60.00 60.00°
Last column: magnetic moment on the atom in μB.
Fractional coordinates of all 10 atoms:
F1 0.780 0.220 0.220  0.01
F2 0.780 0.780 0.220  0.01
F3 0.780 0.220 0.780  0.01
Fe1 0.000 0.000 0.000  0.93
F4 0.220 0.220 0.780  0.01
Cs1 0.250 0.250 0.250  0.00
F5 0.220 0.780 0.780  0.01
Cs2 0.750 0.750 0.750  0.00
F6 0.220 0.780 0.220  0.01
Na1 0.500 0.500 0.500  0.00